Entry 1:
Here is a relaxed structure of BaHgOs2 from the Alexandria database. Energies are from PBE.

Cell: 3.0114 5.2460 10.6128 Å, 90.00 90.00 90.00°
With the nearest neighbours (Å) after each atom.
Fractional coordinates of all 8 atoms:
Ba  0.0000  0.0000  0.0000  2 Ba 3.01, 4 Hg 3.02, 4 Os 3.27
Ba  0.5000  0.5000  0.5000  2 Ba 3.01, 4 Hg 3.02, 4 Os 3.27
Hg  0.0000  0.0000  0.5000  4 Os 2.84, 2 Hg 3.01, 4 Ba 3.02
Hg  0.5000  0.5000  0.0000  4 Os 2.84, 2 Hg 3.01, 4 Ba 3.02
Os  0.0000  0.5000  0.2264  2 Hg 2.84, 6 Os 3.01-3.07
Os  0.0000  0.5000  0.7736  2 Hg 2.84, 6 Os 3.01-3.07
Os  0.5000  0.0000  0.2736  2 Hg 2.84, 6 Os 3.01-3.07
Os  0.5000  0.0000  0.7264  2 Hg 2.84, 6 Os 3.01-3.07

Output
Spin magnetization, μB per formula unit: 0.00
Calculated density, kg/m3: 14230
DFT formation energy, meV per atom: 1293

Entry 2:
Here is a relaxed structure of Hg3Sb2H2 from the Alexandria database. Energies are from PBE.

Cell: 6.9746 3.1961 7.2992 Å, 90.00 97.95 90.00°
With the nearest neighbours (Å) after each atom.
Fractional coordinates of all 7 atoms:
Hg  0.0000  0.0000  0.0000  2 H 1.69
Hg  0.2070  0.5000  0.5682  2 H 2.53
Hg  0.7930  0.5000  0.4318  2 H 2.53
Sb  0.4256  0.5000  0.1785  3 Sb 2.94-3.20, 1 Hg 2.95
Sb  0.5744  0.5000  0.8215  3 Sb 2.94-3.20, 1 Hg 2.95
H  0.0858  0.0000  0.7946  1 Hg 1.69
H  0.9142  0.0000  0.2054  1 Hg 1.69

Output
Spin magnetization, μB per formula unit: 0.00
Calculated density, kg/m3: 8731
Uncorrected energy, eV per cell: -14.4

Entry 3:
Here is a relaxed structure of Ta2ZnHg from the Alexandria database. Energies are from PBE.

Cell: 3.0771 4.9614 9.4512 Å, 90.00 90.00 90.00°
With the nearest neighbours (Å) after each atom.
Fractional coordinates of all 8 atoms:
Ta  0.0000  0.0000  0.0000  2 Zn 2.78, 4 Ta 2.80-3.08, 4 Hg 2.92
Ta  0.0000  0.5000  0.2530  4 Ta 2.80-3.08, 4 Zn 2.92, 2 Hg 2.97
Ta  0.5000  0.0000  0.7530  4 Ta 2.80-3.08, 4 Zn 2.92, 2 Hg 2.97
Ta  0.5000  0.5000  0.5000  2 Zn 2.78, 4 Ta 2.80-3.08, 4 Hg 2.92
Zn  0.0000  0.5000  0.7455  2 Hg 2.73, 6 Ta 2.78-2.92
Zn  0.5000  0.0000  0.2455  2 Hg 2.73, 6 Ta 2.78-2.92
Hg  0.0000  0.0000  0.4844  2 Zn 2.73, 6 Ta 2.92-2.97
Hg  0.5000  0.5000  0.9844  2 Zn 2.73, 6 Ta 2.92-2.97

Output
Spin magnetization, μB per formula unit: 0.00
E above lowest polymorph, meV/atom: 164
Calculated density, kg/m3: 14452
DFT formation energy, meV per atom: 298

Entry 4:
Here is a relaxed structure of CrIn4Cl from the Alexandria database. Energies are from PBE.

Cell: 6.1080 6.1080 6.1080 Å, 60.00 60.00 60.00°
With the nearest neighbours (Å) after each atom.
Fractional coordinates of all 6 atoms:
Cr  0.0000  0.0000  0.0000  12 In 3.58, 4 Cl 3.74
In  0.1244  0.6252  0.6252  6 In 3.05-3.06
In  0.6252  0.1244  0.6252  6 In 3.05-3.06
In  0.6252  0.6252  0.1244  6 In 3.05-3.06
In  0.6252  0.6252  0.6252  6 In 3.05-3.06
Cl  0.2500  0.2500  0.2500  12 In 3.58, 4 Cr 3.74

Output
Spin magnetization, μB per formula unit: 4.54
Uncorrected formation energy, meV per atom: 283
Calculated density, kg/m3: 5634